[1]
16
Lattice="7.429 0.000 0.000 0.000 7.429 0.000 0.000 0.000 7.429" Properties=species:S:1:pos:R:3 comment="SrHgBiPt PBE relaxed" formation_enthalpy_0k_ev_per_atom=-0.385 total_energy_ev_per_cell=-53.78 sg="F-43m (216)" pbc="T T T"
Sr 0.000 0.000 0.000
Sr 0.000 3.715 3.715
Sr 3.715 0.000 3.715
Sr 3.715 3.715 0.000
Hg 1.857 1.857 1.857
Hg 1.857 5.572 5.572
Hg 5.572 1.857 5.572
Hg 5.572 5.572 1.857
Bi 0.000 0.000 3.715
Bi 0.000 3.715 0.000
Bi 3.715 0.000 0.000
Bi 3.715 3.715 3.715
Pt 1.857 1.857 5.572
Pt 1.857 5.572 1.857
Pt 5.572 1.857 1.857
Pt 5.572 5.572 5.572



[2]
16
Lattice="7.338 0.000 0.000 0.000 7.338 0.000 0.000 0.000 7.338" Properties=species:S:1:pos:R:3 comment="ThHgBiPt PBE relaxed" formation_enthalpy_0k_ev_per_atom=-0.482 total_energy_ev_per_cell=-78.29 sg="F-43m (216)" pbc="T T T"
Th 0.000 0.000 0.000
Th 0.000 3.669 3.669
Th 3.669 0.000 3.669
Th 3.669 3.669 0.000
Hg 1.834 1.834 5.503
Hg 1.834 5.503 1.834
Hg 5.503 1.834 1.834
Hg 5.503 5.503 5.503
Bi 0.000 0.000 3.669
Bi 0.000 3.669 0.000
Bi 3.669 0.000 0.000
Bi 3.669 3.669 3.669
Pt 1.834 1.834 1.834
Pt 1.834 5.503 5.503
Pt 5.503 1.834 5.503
Pt 5.503 5.503 1.834



[3]
5
Lattice="5.328 0.000 0.000 0.000 5.328 0.000 0.000 0.000 5.627" Properties=species:S:1:pos:R:3 comment="Tl2HgBiPt PBE relaxed" formation_enthalpy_0k_ev_per_atom=0.070 total_energy_ev_per_cell=-14.60 sg="P4/mmm (123)" pbc="T T T"
Tl 0.000 2.664 0.000
Tl 2.664 0.000 0.000
Hg 0.000 0.000 2.813
Bi 2.664 2.664 2.813
Pt 2.664 2.664 0.000



[4]
5
Lattice="5.309 0.000 0.000 0.000 5.309 0.000 0.000 0.000 5.445" Properties=species:S:1:pos:R:3 comment="TlHg2BiPt PBE relaxed" formation_enthalpy_0k_ev_per_atom=0.041 total_energy_ev_per_cell=-12.69 sg="P4/mmm (123)" pbc="T T T"
Tl 0.000 0.000 0.000
Hg 0.000 2.654 2.723
Hg 2.654 0.000 2.723
Bi 2.654 2.654 0.000
Pt 2.654 2.654 2.723



[5]
5
Lattice="5.508 0.000 0.000 0.000 5.508 0.000 0.000 0.000 4.998" Properties=species:S:1:pos:R:3 comment="HgBi2PtW PBE relaxed" formation_enthalpy_0k_ev_per_atom=1.102 total_energy_ev_per_cell=-21.55 sg="P4/mmm (123)" pbc="T T T"
Hg 0.000 0.000 0.000
Bi 0.000 2.754 2.499
Bi 2.754 0.000 2.499
Pt 2.754 2.754 2.499
W 2.754 2.754 0.000



[6]
16
Lattice="7.210 0.000 0.000 0.000 7.210 0.000 0.000 0.000 7.210" Properties=species:S:1:pos:R:3 comment="YHgBiPt PBE relaxed" formation_enthalpy_0k_ev_per_atom=-0.531 total_energy_ev_per_cell=-75.25 sg="F-43m (216)" pbc="T T T"
Y 0.000 0.000 0.000
Y 0.000 3.605 3.605
Y 3.605 0.000 3.605
Y 3.605 3.605 0.000
Hg 1.802 1.802 1.802
Hg 1.802 5.407 5.407
Hg 5.407 1.802 5.407
Hg 5.407 5.407 1.802
Bi 0.000 0.000 3.605
Bi 0.000 3.605 0.000
Bi 3.605 0.000 0.000
Bi 3.605 3.605 3.605
Pt 1.802 1.802 5.407
Pt 1.802 5.407 1.802
Pt 5.407 1.802 1.802
Pt 5.407 5.407 5.407



[7]
12
Lattice="4.633 0.000 0.000 0.000 15.454 0.000 0.000 0.000 4.625" Properties=species:S:1:pos:R:3 comment="PuHg3Bi2 PBE relaxed" formation_enthalpy_0k_ev_per_atom=-0.027 total_energy_ev_per_cell=-46.32 sg="Cmmm (65)" pbc="T T T"
Pu 0.000 0.000 0.000
Pu 2.316 7.727 0.000
Hg 0.000 2.466 2.312
Hg 0.000 7.727 2.312
Hg 0.000 12.988 2.312
Hg 2.316 0.000 2.312
Hg 2.316 5.261 2.312
Hg 2.316 10.194 2.312
Bi 0.000 5.246 0.000
Bi 0.000 10.208 0.000
Bi 2.316 2.481 0.000
Bi 2.316 12.973 0.000



[8]
5
Lattice="5.444 0.000 0.000 -2.722 4.715 0.000 0.000 0.000 6.431" Properties=species:S:1:pos:R:3 comment="Pu2HgBi2 PBE relaxed" formation_enthalpy_0k_ev_per_atom=-0.166 polymorph_energy_mev_per_atom=45 total_energy_ev_per_cell=-37.56 sg="P-3m1 (164)" pbc="T T T"
Pu 0.000 3.143 1.305
Pu 2.722 1.572 5.126
Hg 0.000 0.000 0.000
Bi 0.000 3.143 4.485
Bi 2.722 1.572 1.946



[9]
12
Lattice="9.170 -1.688 0.000 9.170 1.688 0.000 -5.241 0.000 10.455" Properties=species:S:1:pos:R:3 comment="Pu2Hg3Bi PBE relaxed" formation_enthalpy_0k_ev_per_atom=-0.151 total_energy_ev_per_cell=-68.72 sg="C2/m (12)" pbc="T T T"
Pu 0.092 0.000 2.133
Pu 4.257 0.000 1.618
Pu 8.842 0.000 8.837
Pu 13.006 0.000 8.322
Hg -2.367 0.000 6.961
Hg 1.488 0.000 6.714
Hg 4.416 0.000 5.547
Hg 8.683 0.000 4.907
Hg 11.611 0.000 3.741
Hg 15.466 0.000 3.493
Bi 7.188 0.000 0.129
Bi 5.910 0.000 10.326



[10]
12
Lattice="4.655 0.000 0.000 0.000 15.544 0.000 0.000 0.000 4.608" Properties=species:S:1:pos:R:3 comment="PuHgBi PBE relaxed" formation_enthalpy_0k_ev_per_atom=-0.242 polymorph_energy_mev_per_atom=0 total_energy_ev_per_cell=-76.96 sg="Cmcm (63)" pbc="T T T"
Pu 0.000 1.447 1.152
Pu 0.000 14.098 3.456
Pu 2.327 6.325 3.456
Pu 2.327 9.219 1.152
Hg 0.000 3.927 3.456
Hg 0.000 11.617 1.152
Hg 2.327 3.845 1.152
Hg 2.327 11.700 3.456
Bi 0.000 6.490 1.152
Bi 0.000 9.055 3.456
Bi 2.327 1.283 3.456
Bi 2.327 14.262 1.152



[11]
3
Lattice="5.288 0.000 0.000 -2.644 4.580 0.000 0.000 0.000 3.489" Properties=species:S:1:pos:R:3 comment="PuHgBi PBE relaxed" formation_enthalpy_0k_ev_per_atom=-0.169 polymorph_energy_mev_per_atom=73 total_energy_ev_per_cell=-19.02 sg="P3m1 (156)" pbc="T T T"
Pu 0.000 0.000 0.000
Hg 2.644 1.527 1.005
Bi 0.000 3.053 1.983



[12]
12
Lattice="11.485 0.000 0.000 0.000 3.482 0.000 0.000 0.000 7.887" Properties=species:S:1:pos:R:3 comment="PuHgBi PBE relaxed" formation_enthalpy_0k_ev_per_atom=0.107 polymorph_energy_mev_per_atom=349 total_energy_ev_per_cell=-72.77 sg="Pnma (62)" pbc="T T T"
Pu 0.732 0.871 0.179
Pu 5.011 2.612 4.123
Pu 6.474 0.871 3.764
Pu 10.753 2.612 7.707
Hg 0.790 2.612 2.880
Hg 4.953 0.871 6.824
Hg 6.532 2.612 1.063
Hg 10.695 0.871 5.006
Bi 2.201 2.612 5.727
Bi 3.542 0.871 1.784
Bi 7.943 2.612 6.103
Bi 9.284 0.871 2.159